# 1
# MgFeTc2 GGA-PBE optimized geometry
# **Crystal system**: tetragonal
# **Calculated formation energy**: 1.050 eV/f.u.
# **Density of states at the Fermi level**: 6.921 states/eV per cell
data_MgFeTc2
_chemical_formula_sum 'Mg2 Fe2 Tc4'
_space_group_name_H-M_alt 'I 4/m m m'
_space_group_IT_number 139
_space_group_name_Hall '-I 4 2'
_cell_length_a 3.720
_cell_length_b 3.720
_cell_length_c 8.237
_cell_angle_alpha 90.00
_cell_angle_beta 90.00
_cell_angle_gamma 90.00
loop_
_atom_site_label
_atom_site_fract_x
_atom_site_fract_y
_atom_site_fract_z
_atom_site_occupancy
Mg1 0.000 0.000 0.000 1
Fe1 0.000 0.000 0.500 1
Tc1 0.000 0.500 0.250 1



# 2
# YPuHf GGA-PBE optimized geometry
# **Crystal system**: trigonal
# **Offset from the most stable computed form**: 0.0 meV per atom
# **Calculated formation energy**: 0.494 eV/f.u.
# **Density of states at the Fermi level**: 48.615 states/eV per cell
data_YPuHf
_chemical_formula_sum 'Y6 Pu6 Hf6'
_space_group_name_H-M_alt 'R -3 m'
_space_group_IT_number 166
_space_group_name_Hall '-R 3 2"'
_cell_length_a 3.3589
_cell_length_b 3.3589
_cell_length_c 48.9740
_cell_angle_alpha 90.00
_cell_angle_beta 90.00
_cell_angle_gamma 120.00
loop_
_atom_site_label
_atom_site_fract_x
_atom_site_fract_y
_atom_site_fract_z
_atom_site_occupancy
Y1 0.0000 0.0000 0.1362 1
Pu1 0.0000 0.0000 0.4104 1
Hf1 0.0000 0.0000 0.3087 1



# 3
# TbPmSn GGA-PBE optimized geometry
# **Crystal system**: monoclinic
# **Offset from the most stable computed form**: 248.6 meV per atom
# **Calculated formation energy**: -1.084 eV/f.u.
# **Density of states at the Fermi level**: 7.799 states/eV per cell
data_TbPmSn
_chemical_formula_sum 'Tb2 Pm2 Sn2'
_space_group_name_H-M_alt 'P 1 21/m 1'
_space_group_IT_number 11
_cell_length_a 4.424
_cell_length_b 4.348
_cell_length_c 10.135
_cell_angle_alpha 90.00
_cell_angle_beta 102.60
_cell_angle_gamma 90.00
loop_
_space_group_symop_operation_xyz
'x,y,z'
'-x,-y,-z'
'-x,y+1/2,-z'
'x,-y+1/2,z'
loop_
_atom_site_label
_atom_site_fract_x
_atom_site_fract_y
_atom_site_fract_z
_atom_site_occupancy
Tb1 0.208 0.250 0.416 1
Pm1 0.408 0.250 0.817 1
Sn1 0.050 0.250 0.100 1



# 4
# Y3In2Pd6 GGA-PBE optimized geometry
# **Crystal system**: cubic
# **Calculated formation energy**: -8.357 eV/f.u.
# **Density of states at the Fermi level**: 19.931 states/eV per cell
data_Y3In2Pd6
_chemical_formula_sum 'Y12 In8 Pd24'
_space_group_name_H-M_alt 'I m -3 m'
_space_group_IT_number 229
_space_group_name_Hall '-I 4 2 3'
_cell_length_a 9.684
_cell_length_b 9.684
_cell_length_c 9.684
_cell_angle_alpha 90.00
_cell_angle_beta 90.00
_cell_angle_gamma 90.00
loop_
_atom_site_label
_atom_site_fract_x
_atom_site_fract_y
_atom_site_fract_z
_atom_site_occupancy
Y1 0.000 0.000 0.292 1
In1 0.250 0.250 0.250 1
Pd1 0.000 0.344 0.344 1



# 5
# YTi2AgP GGA-PBE optimized geometry
# **Crystal system**: tetragonal
# **Calculated formation energy**: 3.848 eV/f.u.
# **Density of states at the Fermi level**: 5.634 states/eV per cell
data_YTi2AgP
_chemical_formula_sum 'Y1 Ti2 Ag1 P1'
_space_group_name_H-M_alt 'P 4/m m m'
_space_group_IT_number 123
_space_group_name_Hall '-P 4 2'
_cell_length_a 4.823
_cell_length_b 4.823
_cell_length_c 5.464
_cell_angle_alpha 90.00
_cell_angle_beta 90.00
_cell_angle_gamma 90.00
loop_
_atom_site_label
_atom_site_fract_x
_atom_site_fract_y
_atom_site_fract_z
_atom_site_occupancy
Y1 0.000 0.000 0.000 1
Ti1 0.000 0.500 0.500 1
Ag1 0.000 0.000 0.500 1
P1 0.500 0.500 0.000 1



# 6
# NpU6Os2 GGA-PBE optimized geometry
# **Crystal system**: monoclinic
# **Calculated formation energy**: 0.456 eV/f.u.
# **Density of states at the Fermi level**: 35.257 states/eV per cell
data_NpU6Os2
_chemical_formula_sum 'Np2 U12 Os4'
_space_group_name_H-M_alt 'C 1 m 1'
_space_group_IT_number 8
_cell_length_a 14.373
_cell_length_b 8.548
_cell_length_c 2.767
_cell_angle_alpha 90.00
_cell_angle_beta 97.38
_cell_angle_gamma 90.00
loop_
_space_group_symop_operation_xyz
'x,y,z'
'x,-y,z'
'x+1/2,y+1/2,z'
'x+1/2,-y+1/2,z'
loop_
_atom_site_label
_atom_site_fract_x
_atom_site_fract_y
_atom_site_fract_z
_atom_site_occupancy
Np1 0.000 0.000 0.000 1
U1 0.137 0.186 0.120 1
U2 0.310 0.344 0.326 1
U3 0.459 0.157 0.416 1
Os1 0.133 0.500 0.827 1
Os2 0.286 0.000 0.919 1



Total magnetization? In order: 1.52, 5.55, 0.00, 0.00, 1.44, 0.00 μB per formula unit.